Here is a geometry-optimized Be2NiPO6 structure from Alexandria. Energies are from PBE with a Hubbard U.

a b c (Å): 9.796 9.811 5.148
angles (deg): 90.00 112.51 90.00
Space group C2/c (No. 15)
Symmetry-distinct sites (fractional):
Be1 0.081 0.080 0.116
Ni1 0.000 0.407 0.250
P1 0.000 0.318 0.750
O1 0.083 0.238 0.025
O2 0.103 0.041 0.429
O3 0.106 0.415 0.674

Summary:
* volume: 457.0 Å³/cell
* VASP energy: -6.40 eV per atom